The following is a DFT calculation (PBE) of a relaxed Mg3H3Ir2 crystal.

Summary:
ΔE to the lowest computed polymorph in meV per atom: 4.6
Symmetry: P1, No. 1
VASP energy in eV/cell: -34.895
Calculated volume in Å³ per cell: 99

Cell and atoms, written as POSCAR:
```
Mg3H3Ir2
1.0
4.2734 0.0000 0.0000
2.1248 4.8987 0.0000
2.1310 1.5442 4.7466
Mg H Ir
3 3 2
direct
0.0000 0.0000 0.0000
0.1629 0.3300 0.3374
0.7903 0.7262 0.6895
0.2879 0.8679 0.5528
0.4238 0.0898 0.0865
0.7027 0.4735 0.1136
0.4953 0.2752 0.7328
0.4949 0.7119 0.2941
```